K2RbZnPd: optimized geometry, PBE-GGA.

Summary:
Theoretical density, g/cm3: 2.677
ΔH_f (0 K), eV per atom: 0.03
Calculated volume, Å³ per cell: 208.1
DFT total energy, eV per cell: -9.48

Cell: 6.4251 6.4251 5.0402 Å, 90.00 90.00 90.00°
Space group P4/mmm (No. 123)
Asymmetric unit:
K (0.0000, 0.5000, 0.0000) (multiplicity 2)
Rb (0.0000, 0.0000, 0.5000) (multiplicity 1)
Zn (0.5000, 0.5000, 0.5000) (multiplicity 1)
Pd (0.5000, 0.5000, 0.0000) (multiplicity 1)

***

KRbZn2Pd: optimized geometry, PBE-GGA.

Summary:
Theoretical density, g/cm3: 3.909
ΔH_f (0 K), eV per atom: -0.01
Calculated volume, Å³ per cell: 153.7
DFT total energy, eV per cell: -9.86

Cell: 5.1105 5.1105 5.8853 Å, 90.00 90.00 90.00°
Space group P4/mmm (No. 123)
Asymmetric unit:
K (0.0000, 0.0000, 0.0000) (multiplicity 1)
Rb (0.5000, 0.5000, 0.0000) (multiplicity 1)
Zn (0.0000, 0.5000, 0.5000) (multiplicity 2)
Pd (0.0000, 0.0000, 0.5000) (multiplicity 1)

***

KRePd: optimized geometry, PBE-GGA.

Summary:
Theoretical density, g/cm3: 6.497
ΔH_f (0 K), eV per atom: 1.26
Calculated volume, Å³ per cell: 84.8
DFT total energy, eV per cell: -14.96

Cell: 4.1994 4.1994 5.5516 Å, 90.00 90.00 120.00°
Space group P-6m2 (No. 187)
Asymmetric unit:
K (0.0000, 0.0000, 0.0000) (multiplicity 1)
Re (0.3333, 0.6667, 0.5000) (multiplicity 1)
Pd (0.6667, 0.3333, 0.5000) (multiplicity 1)

***

KRePd: optimized geometry, PBE-GGA.

Summary:
Theoretical density, g/cm3: 6.891
ΔH_f (0 K), eV per atom: 0.43
Calculated volume, Å³ per cell: 159.9
DFT total energy, eV per cell: -34.89

Cell: 3.0960 4.0693 12.8530 Å, 99.04 91.20 90.00°
Space group P-1 (No. 2)
Asymmetric unit:
K (0.2164, 0.3331, 0.1664) (multiplicity 2)
Re (0.2438, 0.4645, 0.4293) (multiplicity 2)
Pd (0.2625, 0.0693, 0.6386) (multiplicity 2)

***

KRePd: optimized geometry, PBE-GGA.

Summary:
Theoretical density, g/cm3: 7.640
ΔH_f (0 K), eV per atom: 0.66
Calculated volume, Å³ per cell: 288.4
DFT total energy, eV per cell: -67.04

Cell: 5.0497 12.4065 4.6037 Å, 90.00 90.00 90.00°
Space group Cmmm (No. 65)
Asymmetric unit:
K (0.0000, 0.0000, 0.0000) (multiplicity 2)
K (0.0000, 0.5000, 0.5000) (multiplicity 2)
Re (0.2500, 0.2500, 0.0000) (multiplicity 4)
Pd (0.0000, 0.2138, 0.5000) (multiplicity 4)

***

KRePd: optimized geometry, PBE-GGA.

Summary:
Theoretical density, g/cm3: 7.310
ΔH_f (0 K), eV per atom: 1.05
Calculated volume, Å³ per cell: 150.7
DFT total energy, eV per cell: -31.17

Cell: 4.7238 4.7238 7.7990 Å, 90.00 90.00 120.00°
Space group P-6m2 (No. 187)
Asymmetric unit:
K (0.0000, 0.0000, 0.0000) (multiplicity 1)
K (0.0000, 0.0000, 0.5000) (multiplicity 1)
Re (0.6667, 0.3333, 0.1463) (multiplicity 2)
Pd (0.3333, 0.6667, 0.1808) (multiplicity 2)

***

KRePd: optimized geometry, PBE-GGA.

Summary:
Theoretical density, g/cm3: 8.798
ΔH_f (0 K), eV per atom: 0.63
Calculated volume, Å³ per cell: 250.4
DFT total energy, eV per cell: -67.39

Cell: 9.4937 3.0880 8.5423 Å, 90.00 90.00 90.00°
Space group Pnma (No. 62)
Asymmetric unit:
K (0.0620, 0.2500, 0.1428) (multiplicity 4)
Re (0.0901, 0.2500, 0.5306) (multiplicity 4)
Pd (0.2324, 0.2500, 0.8320) (multiplicity 4)

***

KRePd: optimized geometry, PBE-GGA.

Summary:
Theoretical density, g/cm3: 7.220
ΔH_f (0 K), eV per atom: 0.52
Calculated volume, Å³ per cell: 152.6
DFT total energy, eV per cell: -34.36

Cell: 3.0089 6.0587 8.7041 Å, 83.11 89.82 75.69°
Space group P1 (No. 1)
Asymmetric unit:
K (0.0000, 0.0000, 0.0000) (multiplicity 1)
K (0.2121, 0.5528, 0.6487) (multiplicity 1)
Re (0.3076, 0.3851, 0.2618) (multiplicity 1)
Re (0.9412, 0.1146, 0.3905) (multiplicity 1)
Pd (0.4738, 0.0438, 0.6416) (multiplicity 1)
Pd (0.6205, 0.7563, 0.3168) (multiplicity 1)

***

KRePd: optimized geometry, PBE-GGA.

Summary:
Theoretical density, g/cm3: 6.794
ΔH_f (0 K), eV per atom: 0.44
Calculated volume, Å³ per cell: 324.3
DFT total energy, eV per cell: -69.70

Cell: 4.1150 25.0981 3.1400 Å, 90.00 90.00 90.00°
Space group Cmcm (No. 63)
Asymmetric unit:
K (0.0000, 0.1667, 0.2500) (multiplicity 4)
Re (0.0000, 0.0352, 0.7500) (multiplicity 4)
Pd (0.0000, 0.4339, 0.7500) (multiplicity 4)

***

KRePd: optimized geometry, PBE-GGA.

Summary:
Theoretical density, g/cm3: 7.546
ΔH_f (0 K), eV per atom: 0.53
Calculated volume, Å³ per cell: 146.0
DFT total energy, eV per cell: -34.29

Cell: 3.1430 6.0860 7.8075 Å, 86.17 78.47 89.98°
Space group P1 (No. 1)
Asymmetric unit:
K (0.0000, 0.0000, 0.0000) (multiplicity 1)
K (0.3636, 0.4940, 0.2804) (multiplicity 1)
Re (0.1181, 0.5238, 0.7655) (multiplicity 1)
Re (0.6809, 0.7730, 0.6385) (multiplicity 1)
Pd (0.2980, 0.9845, 0.4017) (multiplicity 1)
Pd (0.6826, 0.2199, 0.6353) (multiplicity 1)

***

KRePd: optimized geometry, PBE-GGA.

Summary:
Theoretical density, g/cm3: 8.890
ΔH_f (0 K), eV per atom: 1.50
Calculated volume, Å³ per cell: 123.9
DFT total energy, eV per cell: -28.49

Cell: 5.0181 5.0181 5.6826 Å, 90.00 90.00 120.00°
Space group P6_3/mmc (No. 194)
Asymmetric unit:
K (0.0000, 0.0000, 0.0000) (multiplicity 2)
Re (0.3333, 0.6667, 0.2500) (multiplicity 2)
Pd (0.3333, 0.6667, 0.7500) (multiplicity 2)

***

KRePd: optimized geometry, PBE-GGA.

Summary:
Theoretical density, g/cm3: 7.662
ΔH_f (0 K), eV per atom: 0.35
Calculated volume, Å³ per cell: 143.8
DFT total energy, eV per cell: -35.41

Cell: 2.9190 3.7211 13.2393 Å, 90.64 90.70 90.01°
Space group P-1 (No. 2)
Asymmetric unit:
K (0.1886, 0.2365, 0.1611) (multiplicity 2)
Re (0.1732, 0.2481, 0.4533) (multiplicity 2)
Pd (0.2951, 0.2567, 0.6633) (multiplicity 2)

***

KRePd3: optimized geometry, PBE-GGA.

Summary:
Theoretical density, g/cm3: 7.941
ΔH_f (0 K), eV per atom: 2.15
Calculated volume, Å³ per cell: 113.9
DFT total energy, eV per cell: -18.36

Cell: 4.8471 4.8471 4.8471 Å, 90.00 90.00 90.00°
Space group Pm-3m (No. 221)
Asymmetric unit:
K (0.0000, 0.0000, 0.0000) (multiplicity 1)
Re (0.5000, 0.5000, 0.5000) (multiplicity 1)
Pd (0.0000, 0.0000, 0.5000) (multiplicity 3)